Compound: Pr2Sm2Ru3
Source: Alexandria
Functional: PBE-GGA
Structure: relaxed

The structure in extended XYZ format:
```
7
Lattice="-1.925 -1.751 -4.238 0.604 -3.029 3.897 -7.038 4.439 1.362" Properties=species:S:1:pos:R:3 pbc="T T T"
Ru -2.845 -1.731 -0.907
Ru 0.000 0.000 0.000
Sm -7.214 2.033 -0.482
Pr -2.718 0.686 0.950
Sm -1.145 -2.374 1.503
Pr -5.642 -1.027 0.071
Ru -5.515 1.390 1.928
```

Output
VASP energy: -6.804 eV per atom
Size of the total moment: 0.00 μB/f.u.